Entry 1:
# Zr2PdPtPb2, relaxed, DFT PBE
data_Zr2PdPtPb2
_cell_length_a 7.957
_cell_length_b 4.593
_cell_length_c 15.232
_cell_angle_alpha 90.00
_cell_angle_beta 100.01
_cell_angle_gamma 90.00
_space_group_name_H-M_alt 'P 1'
_space_group_IT_number 1
_space_group_name_Hall 'P 1'
loop_
_atom_site_label
_atom_site_type_symbol
_atom_site_fract_x
_atom_site_fract_y
_atom_site_fract_z
_atom_site_occupancy
Zr1 Zr 0.000 0.000 0.000 1
Zr2 Zr 0.004 0.500 0.501 1
Zr3 Zr 0.249 0.000 0.749 1
Zr4 Zr 0.253 0.500 0.250 1
Zr5 Zr 0.502 0.000 0.500 1
Zr6 Zr 0.506 0.500 0.001 1
Zr7 Zr 0.752 0.000 0.250 1
Zr8 Zr 0.757 0.500 0.752 1
Pd1 Pd 0.315 0.000 0.938 1
Pd2 Pd 0.315 0.500 0.438 1
Pd3 Pd 0.565 0.000 0.688 1
Pd4 Pd 0.815 0.000 0.438 1
Pt1 Pt 0.065 0.500 0.688 1
Pt2 Pt 0.066 0.000 0.188 1
Pt3 Pt 0.565 0.500 0.188 1
Pt4 Pt 0.815 0.500 0.938 1
Pb1 Pb 0.128 0.000 0.377 1
Pb2 Pb 0.133 0.500 0.877 1
Pb3 Pb 0.377 0.000 0.123 1
Pb4 Pb 0.382 0.500 0.625 1
Pb5 Pb 0.623 0.000 0.874 1
Pb6 Pb 0.629 0.500 0.377 1
Pb7 Pb 0.873 0.000 0.624 1
Pb8 Pb 0.879 0.500 0.126 1
# Total energy   -6.58 eV/atom

---

Entry 2:
# RePdPb, relaxed, DFT PBE
data_RePdPb
_cell_length_a 4.496
_cell_length_b 4.496
_cell_length_c 4.496
_cell_angle_alpha 60.00
_cell_angle_beta 60.00
_cell_angle_gamma 60.00
_space_group_name_H-M_alt 'P 1'
_space_group_IT_number 1
_space_group_name_Hall 'P 1'
loop_
_atom_site_label
_atom_site_type_symbol
_atom_site_fract_x
_atom_site_fract_y
_atom_site_fract_z
_atom_site_occupancy
Re1 Re 0.000 0.000 0.000 1
Pd1 Pd 0.250 0.250 0.250 1
Pb1 Pb 0.750 0.750 0.750 1
# Total energy   -6.20 eV/atom

---

Entry 3:
# TmPdPbS3, relaxed, DFT PBE
data_TmPdPbS3
_cell_length_a 6.930
_cell_length_b 6.930
_cell_length_c 10.278
_cell_angle_alpha 90.00
_cell_angle_beta 90.00
_cell_angle_gamma 148.08
_space_group_name_H-M_alt 'P 1'
_space_group_IT_number 1
_space_group_name_Hall 'P 1'
loop_
_atom_site_label
_atom_site_type_symbol
_atom_site_fract_x
_atom_site_fract_y
_atom_site_fract_z
_atom_site_occupancy
Tm1 Tm 0.000 0.000 0.000 1
Tm2 Tm 0.000 0.000 0.500 1
Pd1 Pd 0.468 0.532 0.750 1
Pd2 Pd 0.532 0.468 0.250 1
Pb1 Pb 0.231 0.769 0.250 1
Pb2 Pb 0.769 0.231 0.750 1
S1 S 0.079 0.921 0.750 1
S2 S 0.359 0.641 0.553 1
S3 S 0.359 0.641 0.947 1
S4 S 0.641 0.359 0.053 1
S5 S 0.641 0.359 0.447 1
S6 S 0.921 0.079 0.250 1
# Total energy   -5.30 eV/atom

---

Entry 4:
# ZrPdPbS3, relaxed, DFT PBE
data_ZrPdPbS3
_cell_length_a 6.909
_cell_length_b 6.909
_cell_length_c 10.050
_cell_angle_alpha 90.00
_cell_angle_beta 90.00
_cell_angle_gamma 148.24
_space_group_name_H-M_alt 'P 1'
_space_group_IT_number 1
_space_group_name_Hall 'P 1'
loop_
_atom_site_label
_atom_site_type_symbol
_atom_site_fract_x
_atom_site_fract_y
_atom_site_fract_z
_atom_site_occupancy
Zr1 Zr 0.000 0.000 0.000 1
Zr2 Zr 0.000 0.000 0.500 1
Pd1 Pd 0.406 0.594 0.750 1
Pd2 Pd 0.594 0.406 0.250 1
Pb1 Pb 0.259 0.741 0.250 1
Pb2 Pb 0.741 0.259 0.750 1
S1 S 0.050 0.950 0.750 1
S2 S 0.366 0.634 0.518 1
S3 S 0.366 0.634 0.982 1
S4 S 0.634 0.366 0.018 1
S5 S 0.634 0.366 0.482 1
S6 S 0.950 0.050 0.250 1
# Total energy   -5.91 eV/atom

---

Entry 5:
# ZrPdPbS3, relaxed, DFT PBE
data_ZrPdPbS3
_cell_length_a 7.532
_cell_length_b 3.750
_cell_length_c 9.548
_cell_angle_alpha 90.00
_cell_angle_beta 107.13
_cell_angle_gamma 90.00
_space_group_name_H-M_alt 'P 1'
_space_group_IT_number 1
_space_group_name_Hall 'P 1'
loop_
_atom_site_label
_atom_site_type_symbol
_atom_site_fract_x
_atom_site_fract_y
_atom_site_fract_z
_atom_site_occupancy
Zr1 Zr 0.193 0.250 0.162 1
Zr2 Zr 0.807 0.750 0.838 1
Pd1 Pd 0.454 0.750 0.380 1
Pd2 Pd 0.546 0.250 0.620 1
Pb1 Pb 0.261 0.750 0.676 1
Pb2 Pb 0.739 0.250 0.324 1
S1 S 0.062 0.250 0.868 1
S2 S 0.222 0.250 0.435 1
S3 S 0.410 0.750 0.123 1
S4 S 0.590 0.250 0.877 1
S5 S 0.778 0.750 0.565 1
S6 S 0.938 0.750 0.132 1
# Total energy   -5.92 eV/atom

---

Entry 6:
# ScPd2Pb, relaxed, DFT PBE
data_ScPd2Pb
_cell_length_a 4.720
_cell_length_b 4.720
_cell_length_c 4.720
_cell_angle_alpha 119.89
_cell_angle_beta 119.89
_cell_angle_gamma 90.19
_space_group_name_H-M_alt 'P 1'
_space_group_IT_number 1
_space_group_name_Hall 'P 1'
loop_
_atom_site_label
_atom_site_type_symbol
_atom_site_fract_x
_atom_site_fract_y
_atom_site_fract_z
_atom_site_occupancy
Sc1 Sc 0.000 0.000 0.000 1
Pd1 Pd 0.250 0.750 0.500 1
Pd2 Pd 0.750 0.250 0.500 1
Pb1 Pb 0.500 0.500 0.000 1
# Total energy   -5.76 eV/atom

---

Entry 7:
# ScPd2Pb, relaxed, DFT PBE
data_ScPd2Pb
_cell_length_a 3.423
_cell_length_b 3.423
_cell_length_c 6.646
_cell_angle_alpha 90.00
_cell_angle_beta 90.00
_cell_angle_gamma 90.00
_space_group_name_H-M_alt 'P 1'
_space_group_IT_number 1
_space_group_name_Hall 'P 1'
loop_
_atom_site_label
_atom_site_type_symbol
_atom_site_fract_x
_atom_site_fract_y
_atom_site_fract_z
_atom_site_occupancy
Sc1 Sc 0.000 0.000 0.000 1
Pd1 Pd 0.500 0.500 0.217 1
Pd2 Pd 0.500 0.500 0.783 1
Pb1 Pb 0.000 0.000 0.500 1
# Total energy   -5.73 eV/atom

---

Entry 8:
# ScPd2Pb, relaxed, DFT PBE
data_ScPd2Pb
_cell_length_a 4.625
_cell_length_b 4.625
_cell_length_c 8.485
_cell_angle_alpha 90.00
_cell_angle_beta 90.00
_cell_angle_gamma 120.00
_space_group_name_H-M_alt 'P 1'
_space_group_IT_number 1
_space_group_name_Hall 'P 1'
loop_
_atom_site_label
_atom_site_type_symbol
_atom_site_fract_x
_atom_site_fract_y
_atom_site_fract_z
_atom_site_occupancy
Sc1 Sc 0.333 0.667 0.250 1
Sc2 Sc 0.667 0.333 0.750 1
Pd1 Pd 0.333 0.667 0.588 1
Pd2 Pd 0.333 0.667 0.912 1
Pd3 Pd 0.667 0.333 0.088 1
Pd4 Pd 0.667 0.333 0.412 1
Pb1 Pb 0.000 0.000 0.000 1
Pb2 Pb 0.000 0.000 0.500 1
# Total energy   -5.70 eV/atom

---

Entry 9:
# ScPd2Pb, relaxed, DFT PBE
data_ScPd2Pb
_cell_length_a 4.860
_cell_length_b 4.860
_cell_length_c 7.918
_cell_angle_alpha 90.00
_cell_angle_beta 90.00
_cell_angle_gamma 120.00
_space_group_name_H-M_alt 'P 1'
_space_group_IT_number 1
_space_group_name_Hall 'P 1'
loop_
_atom_site_label
_atom_site_type_symbol
_atom_site_fract_x
_atom_site_fract_y
_atom_site_fract_z
_atom_site_occupancy
Sc1 Sc 0.333 0.667 0.250 1
Sc2 Sc 0.667 0.333 0.750 1
Pd1 Pd 0.333 0.667 0.578 1
Pd2 Pd 0.333 0.667 0.922 1
Pd3 Pd 0.667 0.333 0.078 1
Pd4 Pd 0.667 0.333 0.422 1
Pb1 Pb 0.000 0.000 0.250 1
Pb2 Pb 0.000 0.000 0.750 1
# Total energy   -5.43 eV/atom

---

Entry 10:
# ScPd2Pb, relaxed, DFT PBE
data_ScPd2Pb
_cell_length_a 4.508
_cell_length_b 4.508
_cell_length_c 3.737
_cell_angle_alpha 90.00
_cell_angle_beta 90.00
_cell_angle_gamma 90.53
_space_group_name_H-M_alt 'P 1'
_space_group_IT_number 1
_space_group_name_Hall 'P 1'
loop_
_atom_site_label
_atom_site_type_symbol
_atom_site_fract_x
_atom_site_fract_y
_atom_site_fract_z
_atom_site_occupancy
Sc1 Sc 0.000 0.000 0.000 1
Pd1 Pd 0.000 0.500 0.500 1
Pd2 Pd 0.500 0.000 0.500 1
Pb1 Pb 0.500 0.500 0.000 1
# Total energy   -5.67 eV/atom

---

Entry 11:
# ScPd2Pb, relaxed, DFT PBE
data_ScPd2Pb
_cell_length_a 4.602
_cell_length_b 4.602
_cell_length_c 8.497
_cell_angle_alpha 90.00
_cell_angle_beta 90.00
_cell_angle_gamma 120.00
_space_group_name_H-M_alt 'P 1'
_space_group_IT_number 1
_space_group_name_Hall 'P 1'
loop_
_atom_site_label
_atom_site_type_symbol
_atom_site_fract_x
_atom_site_fract_y
_atom_site_fract_z
_atom_site_occupancy
Sc1 Sc 0.000 0.000 0.000 1
Sc2 Sc 0.000 0.000 0.500 1
Pd1 Pd 0.333 0.667 0.087 1
Pd2 Pd 0.333 0.667 0.413 1
Pd3 Pd 0.667 0.333 0.587 1
Pd4 Pd 0.667 0.333 0.913 1
Pb1 Pb 0.333 0.667 0.750 1
Pb2 Pb 0.667 0.333 0.250 1
# Total energy   -5.72 eV/atom

---

Entry 12:
# ScPd2Pb, relaxed, DFT PBE
data_ScPd2Pb
_cell_length_a 4.720
_cell_length_b 4.720
_cell_length_c 4.720
_cell_angle_alpha 60.00
_cell_angle_beta 60.00
_cell_angle_gamma 60.00
_space_group_name_H-M_alt 'P 1'
_space_group_IT_number 1
_space_group_name_Hall 'P 1'
loop_
_atom_site_label
_atom_site_type_symbol
_atom_site_fract_x
_atom_site_fract_y
_atom_site_fract_z
_atom_site_occupancy
Sc1 Sc 0.000 0.000 0.000 1
Pd1 Pd 0.250 0.250 0.250 1
Pd2 Pd 0.500 0.500 0.500 1
Pb1 Pb 0.750 0.750 0.750 1
# Total energy   -5.59 eV/atom

---

> Look up the total energy of the second one.

-6.20 eV/atom